The following is a DFT calculation (PBE) of an optimized crystal structure of BaTl2CoHg.

Structure (extended XYZ):
```
5
Lattice="5.134 0.000 0.000 0.000 5.134 0.000 0.000 0.000 5.248" Properties=species:S:1:pos:R:3 pbc="T T T"
Ba 0.000 0.000 0.000
Tl 0.000 2.567 2.624
Tl 2.567 0.000 2.624
Co 2.567 2.567 2.624
Hg 2.567 2.567 0.000
```

Space-group type   P4/mmm (123)
Energy above the most stable polymorph in this dataset   0 meV/atom

The following is a DFT calculation (PBE) of an optimized crystal structure of BaTl2CoHg.

Structure (extended XYZ):
```
5
Lattice="5.136 0.000 0.000 0.000 5.136 0.000 0.000 0.000 5.734" Properties=species:S:1:pos:R:3 pbc="T T T"
Ba 0.000 0.000 0.000
Tl 0.000 2.568 2.867
Tl 2.568 0.000 2.867
Co 0.000 0.000 2.867
Hg 2.568 2.568 0.000
```

Space-group type   P4/mmm (123)
Energy above the most stable polymorph in this dataset   76 meV/atom

The following is a DFT calculation (PBE) of an optimized crystal structure of BaYCo2Hg.

Structure (extended XYZ):
```
5
Lattice="5.137 0.000 0.000 0.000 5.137 0.000 0.000 0.000 5.425" Properties=species:S:1:pos:R:3 pbc="T T T"
Ba 0.000 0.000 0.000
Y 2.568 2.568 0.000
Co 0.000 2.568 2.713
Co 2.568 0.000 2.713
Hg 2.568 2.568 2.713
```

Space-group type   P4/mmm (123)

The following is a DFT calculation (PBE) of an optimized crystal structure of BaHo2Co.

Structure (extended XYZ):
```
4
Lattice="1.929 1.114 10.461 -1.929 1.114 10.461 0.000 -2.228 10.461" Properties=species:S:1:pos:R:3 pbc="T T T"
Ba 0.000 0.000 0.000
Ho 0.000 0.000 3.811
Ho 0.000 0.000 27.572
Co 0.000 0.000 15.691
```

Space-group type   R-3m (166)

Number 1: ΔH_f (0 K) -0.105 eV per atom. Number 2: ΔH_f (0 K) -0.029 eV per atom. Number 3: ΔH_f (0 K) 0.839 eV per atom. Number 4: ΔH_f (0 K) 0.081 eV per atom.